Entry 1:
Here is crystalline Sr3Tl9Ag2 at its relaxed geometry from Alexandria via LeMat-Bulk. Energies are from PBE.

```
Sr3Tl9Ag2
1.0
-2.537 5.849 7.027
2.537 -5.849 7.027
2.537 5.849 -7.027
Sr Tl Ag
3 9 2
direct
0.000 0.000 0.000
0.300 0.300 0.000
0.700 0.700 0.000
0.007 0.640 0.367
0.142 0.858 0.284
0.272 0.640 0.633
0.425 0.142 0.284
0.500 0.000 0.500
0.575 0.858 0.716
0.728 0.360 0.367
0.858 0.142 0.716
0.993 0.360 0.633
0.333 0.500 0.833
0.667 0.500 0.167
```

## Properties
The density of states at the Fermi level comes out at 5.8 states/eV per cell. Its density is 9.2 g/cm³. The total energy is -2.471 eV/atom. The formation energy is -182 meV/atom. The magnetization comes out at 0.000 μB/f.u.


Entry 2:
Here is crystalline Sr4TlAg3 at its relaxed geometry from Alexandria via LeMat-Bulk. Energies are from PBE.

```
Sr4TlAg3
1.0
16.865 0.000 0.000
0.000 5.622 0.000
-1.866 0.000 5.304
Sr Tl Ag
8 2 6
direct
0.127 0.000 0.126
0.127 0.500 0.626
0.373 0.000 0.374
0.373 0.500 0.874
0.627 0.000 0.626
0.627 0.500 0.126
0.873 0.000 0.874
0.873 0.500 0.374
0.000 0.000 0.500
0.500 0.500 0.500
0.000 0.500 0.000
0.248 0.000 0.748
0.252 0.500 0.252
0.500 0.000 0.000
0.748 0.500 0.748
0.752 0.000 0.252
```

## Properties
The density of states at the Fermi level comes out at 12.8 states/eV per cell. The distance to the lowest polymorph of the same formula comes out at 20 kJ/mol of formula units. Its density is 5.8 g/cm³. The total energy is -2.501 eV/atom. The formation energy is -295 meV/atom. The magnetization comes out at 0.000 μB/f.u.